# 1
VASP calculation (PBE) on crystalline PmBeZnAu at its relaxed geometry. Values from VASP.

Its formation enthalpy at 0 K is -0.2354 eV/atom. For the density of states at the Fermi level, the calculation gives 0.327 states/eV/atom.

Geometry as Quantum ESPRESSO input:
```
&SYSTEM
  ibrav = 0, nat = 4, ntyp = 4
/
ATOMIC_SPECIES
Zn 65.41 Zn.upf
Au 196.97 Au.upf
Pm 145.00 Pm.upf
Be 9.01 Be.upf
ATOMIC_POSITIONS angstrom
Zn -3.640 3.929 1.969
Au -1.820 1.965 0.985
Pm -5.459 5.894 2.954
Be 0.000 0.000 0.000
CELL_PARAMETERS angstrom
-2.835 3.499 -1.196
-3.981 0.672 2.326
-0.463 3.688 2.810
```

***

# 2
VASP calculation (PBE) on crystalline IrPt3 at its relaxed geometry. Values from VASP.

Its formation enthalpy at 0 K is 0.0821 eV/atom. For the density of states at the Fermi level, the calculation gives 1.644 states/eV/atom.

Geometry as Quantum ESPRESSO input:
```
&SYSTEM
  ibrav = 0, nat = 24, ntyp = 2
/
ATOMIC_SPECIES
Pt 195.08 Pt.upf
Ir 192.22 Ir.upf
ATOMIC_POSITIONS angstrom
Pt -0.912 -2.000 0.964
Ir -5.865 -3.639 2.371
Pt -7.305 -1.871 3.953
Ir -2.210 -4.055 -0.437
Pt -10.631 -4.115 7.524
Pt -8.462 -2.774 6.352
Pt -6.993 -4.530 4.728
Pt -10.919 -1.459 6.730
Pt -1.932 -6.697 0.360
Pt -8.773 -0.108 5.552
Pt -9.612 0.582 8.128
Pt -5.545 -6.285 3.137
Pt -4.389 -5.382 0.737
Ir -10.080 -2.160 4.155
Pt -5.998 0.170 5.351
Pt -3.082 -3.341 2.136
Ir -1.463 -3.955 4.333
Ir -5.679 -2.476 6.117
Pt -7.154 -0.732 7.751
Pt -4.550 -1.585 3.760
Pt -4.238 -4.244 4.535
Ir -9.333 -2.060 8.925
Pt -0.625 -4.656 1.758
Pt -2.770 -6.007 2.936
CELL_PARAMETERS angstrom
-2.621 -4.094 -2.804
1.910 -3.256 2.968
-10.832 1.235 8.324
```

***

Copy entry 2 word for word.
VASP calculation (PBE) on crystalline IrPt3 at its relaxed geometry. Values from VASP.

Its formation enthalpy at 0 K is 0.0821 eV/atom. For the density of states at the Fermi level, the calculation gives 1.644 states/eV/atom.

Geometry as Quantum ESPRESSO input:
```
&SYSTEM
  ibrav = 0, nat = 24, ntyp = 2
/
ATOMIC_SPECIES
Pt 195.08 Pt.upf
Ir 192.22 Ir.upf
ATOMIC_POSITIONS angstrom
Pt -0.912 -2.000 0.964
Ir -5.865 -3.639 2.371
Pt -7.305 -1.871 3.953
Ir -2.210 -4.055 -0.437
Pt -10.631 -4.115 7.524
Pt -8.462 -2.774 6.352
Pt -6.993 -4.530 4.728
Pt -10.919 -1.459 6.730
Pt -1.932 -6.697 0.360
Pt -8.773 -0.108 5.552
Pt -9.612 0.582 8.128
Pt -5.545 -6.285 3.137
Pt -4.389 -5.382 0.737
Ir -10.080 -2.160 4.155
Pt -5.998 0.170 5.351
Pt -3.082 -3.341 2.136
Ir -1.463 -3.955 4.333
Ir -5.679 -2.476 6.117
Pt -7.154 -0.732 7.751
Pt -4.550 -1.585 3.760
Pt -4.238 -4.244 4.535
Ir -9.333 -2.060 8.925
Pt -0.625 -4.656 1.758
Pt -2.770 -6.007 2.936
CELL_PARAMETERS angstrom
-2.621 -4.094 -2.804
1.910 -3.256 2.968
-10.832 1.235 8.324
```